[1]
Here is a relaxed Y2HgTe crystal from the Alexandria database. Energies are from PBE-GGA.

Symmetry ... C2/m (12)
DOS at the Fermi energy ... 0.51 states/eV/atom
Formation energy from raw total energies ... -85.8 kJ per mole of atoms

Unit cell a=4.1544 b=4.1544 c=8.1494 alpha=75.28 beta=75.28 gamma=59.86
Fractional positions:
Te 0.7500 0.7500 0.7500
Y 0.9997 0.9997 0.0016
Hg 0.2500 0.2500 0.2500
Y 0.5003 0.5003 0.4984


[2]
Here is a relaxed Y2HgTe crystal from the Alexandria database. Energies are from PBE-GGA.

Symmetry ... I-4m2 (119)
DOS at the Fermi energy ... 1.02 states/eV/atom
Formation energy from raw total energies ... -64.5 kJ per mole of atoms

Unit cell a=6.4662 b=6.4662 c=6.4662 alpha=140.19 beta=140.19 gamma=57.56
Fractional positions:
Te 0.7500 0.2500 0.5000
Y 0.2500 0.7500 0.5000
Hg 0.5000 0.5000 0.0000
Y 0.0000 0.0000 0.0000


[3]
Here is a relaxed YHgTe2 crystal from the Alexandria database. Energies are from PBE-GGA.

Symmetry ... Pnma (62)
DOS at the Fermi energy ... 0.50 states/eV/atom
Formation energy from raw total energies ... -69.6 kJ per mole of atoms

Unit cell a=7.3308 b=4.4669 c=15.7956 alpha=90.00 beta=90.00 gamma=90.00
Fractional positions:
Hg 0.2652 0.2500 0.3291
Hg 0.7652 0.2500 0.1709
Te 0.7464 0.2500 0.4828
Te 0.5466 0.7500 0.2950
Y 0.9360 0.7500 0.3918
Te 0.2536 0.7500 0.5172
Y 0.4360 0.7500 0.1082
Te 0.0466 0.7500 0.2050
Te 0.9534 0.2500 0.7950
Te 0.7536 0.7500 0.9828
Y 0.0640 0.2500 0.6082
Hg 0.2348 0.7500 0.8291
Te 0.4534 0.2500 0.7050
Te 0.2464 0.2500 0.0172
Y 0.5640 0.2500 0.8918
Hg 0.7348 0.7500 0.6709


[4]
Here is a relaxed YHgTe2 crystal from the Alexandria database. Energies are from PBE-GGA.

Symmetry ... I-4m2 (119)
DOS at the Fermi energy ... 0.37 states/eV/atom
Formation energy from raw total energies ... -60.0 kJ per mole of atoms

Unit cell a=6.5950 b=6.5950 c=6.5950 alpha=141.14 beta=141.14 gamma=56.13
Fractional positions:
Te 0.2500 0.7500 0.5000
Y 0.5000 0.5000 0.0000
Te 0.0000 0.0000 0.0000
Hg 0.7500 0.2500 0.5000


[5]
Here is a relaxed YHg2Te2 crystal from the Alexandria database. Energies are from PBE-GGA.

Symmetry ... I4/mmm (139)
DOS at the Fermi energy ... 0.79 states/eV/atom
Formation energy from raw total energies ... 0.9 kJ per mole of atoms

Unit cell a=4.2537 b=4.2537 c=9.0992 alpha=76.48 beta=76.48 gamma=90.00
Fractional positions:
Te 0.2500 0.7500 0.5000
Hg 0.4109 0.4109 0.1782
Te 0.7500 0.2500 0.5000
Hg 0.5891 0.5891 0.8218
Y 0.0000 0.0000 0.0000


[6]
Here is a relaxed Y2HgTe crystal from the Alexandria database. Energies are from PBE-GGA.

Symmetry ... C2/m (12)
DOS at the Fermi energy ... 0.94 states/eV/atom
Formation energy from raw total energies ... -71.7 kJ per mole of atoms

Unit cell a=5.3843 b=7.8427 c=3.7201 alpha=62.05 beta=89.77 gamma=124.50
Fractional positions:
Te 0.5000 0.0000 0.5000
Hg 0.5000 0.5000 0.0000
Y 0.0000 0.0000 0.0000
Y 0.0000 0.5000 0.5000


[7]
Here is a relaxed YHg2Te crystal from the Alexandria database. Energies are from PBE-GGA.

Symmetry ... Imm2 (44)
DOS at the Fermi energy ... 0.54 states/eV/atom
Formation energy from raw total energies ... -48.7 kJ per mole of atoms

Unit cell a=5.7769 b=5.7769 c=5.7769 alpha=131.61 beta=131.83 gamma=70.67
Fractional positions:
Y 0.2502 0.7502 0.5000
Hg 0.0001 0.0001 0.0000
Hg 0.7496 0.2496 0.5000
Te 0.5002 0.5002 0.0000


[8]
Here is a relaxed Y2HgTe crystal from the Alexandria database. Energies are from PBE-GGA.

Symmetry ... R3m (160)
DOS at the Fermi energy ... 0.64 states/eV/atom
Formation energy from raw total energies ... -38.4 kJ per mole of atoms

Unit cell a=9.4658 b=9.4658 c=9.4658 alpha=24.42 beta=24.42 gamma=24.42
Each line ends with the local moment (μB).
Fractional positions:
Te 0.7497 0.7497 0.7497  0.01
Hg 0.4961 0.4961 0.4961  0.00
Y 0.0111 0.0111 0.0111  0.26
Y 0.2431 0.2431 0.2431  0.28